! Ba3Bi2TeO9 | Alexandria via LeMat-Bulk | PBE | relaxed; values from VASP
! * crystal system: trigonal
! * VASP energy: -180.05 eV per cell
! * E_form (uncorrected): -1.92 eV per atom
&SYSTEM
  ibrav = 0, nat = 30, ntyp = 4
/
ATOMIC_SPECIES
Ba 137.33 Ba.upf
Bi 208.98 Bi.upf
Te 127.60 Te.upf
O 16.00 O.upf
CELL_PARAMETERS angstrom
6.2659 0.0000 0.0000
-3.1329 5.4264 0.0000
0.0000 0.0000 15.0387
ATOMIC_POSITIONS angstrom
Ba 0.0000 0.0000 3.7597
Ba 0.0000 0.0000 11.2790
Ba 0.0000 3.6176 1.2254
Ba 0.0000 3.6176 8.7447
Ba 3.1329 1.8088 6.2940
Ba 3.1329 1.8088 13.8133
Bi 0.0000 3.6176 5.0017
Bi 0.0000 3.6176 12.5210
Bi 3.1329 1.8088 2.5177
Bi 3.1329 1.8088 10.0370
Te 0.0000 0.0000 0.0000
Te 0.0000 0.0000 7.5193
O -1.3869 2.4022 3.7597
O -1.7460 3.0242 11.2790
O -0.4016 1.5706 13.9094
O -1.9736 4.2933 6.3901
O 0.4016 1.5706 6.3901
O -1.5720 4.9889 13.9094
O 1.5610 0.4375 8.6486
O 1.1593 1.1331 1.1293
O 2.7738 0.0000 3.7597
O 1.3869 2.4022 11.2790
O 3.4921 0.0000 11.2790
O 1.7460 3.0242 3.7597
O 1.9736 4.2933 13.9094
O 1.5720 4.9889 6.3901
O 4.7049 0.4375 1.1293
O 2.7313 3.8558 8.6486
O 5.1065 1.1331 8.6486
O 3.5346 3.8558 1.1293